Cu2HgCF | PBE | optimized geometry

a b c (Å): 3.841 3.841 4.665
angles (deg): 90.00 90.00 90.00
Space group P4/mmm (No. 123)
Asymmetric unit:
Cu1 0.000 0.500 0.000 (multiplicity 2)
Hg1 0.000 0.000 0.500 (multiplicity 1)
C1 0.000 0.000 0.000 (multiplicity 1)
F1 0.500 0.500 0.500 (multiplicity 1)

Computed properties:
Energy relative to the elements, uncorrected: 0.183 eV per atom
Electronic total energy: -3.735 eV/atom